Model 1:
First-principles (PBE) data for ZrRe2Br after structural relaxation, as listed in Alexandria.

The structure in POSCAR format:
```
ZrRe2Br
1.0
-1.4432 1.0352 4.7432
0.6036 -4.8533 -1.3167
3.0446 0.1353 0.8968
Br Zr Re
1 1 2
Cartesian
1.8241 -2.3590 -0.2100
0.8007 0.5853 2.8200
-0.4198 -1.9090 1.7132
0.0000 0.0000 0.0000
```

## Properties
The value obtained for the volume is 17.947 A^3/atom.

***

Model 2:
First-principles (PBE) data for ZrRe2Br after structural relaxation, as listed in Alexandria.

The structure in POSCAR format:
```
ZrRe2Br
1.0
5.8183 -0.0065 0.0000
3.4296 4.7001 0.0000
-4.6239 -2.3468 2.6390
Re Br Zr
2 1 1
Cartesian
4.6239 2.3468 0.0000
0.0000 0.0000 0.0000
2.9091 -0.0033 1.3195
1.7148 2.3500 1.3195
```

## Properties
The value obtained for the volume is 18.057 A^3/atom.

***

Of them, model 1 has the lowest stability.

***

Model 1:
First-principles (PBE) data for ZrRe2Br after structural relaxation, as listed in Alexandria.

The structure in POSCAR format:
```
ZrRe2Br
1.0
4.6045 0.0000 0.0000
0.0000 4.6045 0.0000
0.0000 0.0000 3.2742
Zr Re Br
1 2 1
Cartesian
2.3023 0.0000 1.6371
0.0000 0.0000 0.0000
2.3023 2.3023 0.0000
0.0000 2.3023 1.6371
```

## Properties
The value obtained for the volume is 17.355 A^3/atom.

***

Model 2:
First-principles (PBE) data for ZrRe2Br after structural relaxation, as listed in Alexandria.

The structure in POSCAR format:
```
ZrRe2Br
1.0
-2.1504 2.2494 0.0970
0.0111 -0.1808 4.4387
3.6481 3.4818 0.1327
Re Br Zr
2 1 1
Cartesian
0.0000 0.0000 0.0000
-1.0696 1.0343 2.2679
1.8296 1.6505 2.2857
0.7489 2.8656 0.1149
```

## Properties
The value obtained for the volume is 17.443 A^3/atom.

***

Of them, model 1 has the lowest stability.

***

Model 1:
First-principles (PBE) data for ZrRe2Br after structural relaxation, as listed in Alexandria.

The structure in POSCAR format:
```
ZrRe2Br
1.0
-1.8613 1.2496 -7.3864
7.3573 -1.1287 -2.0449
2.2784 -2.4466 -5.0214
Zr Re Br
2 4 2
Cartesian
1.5825 -0.5683 -8.5617
0.0000 0.0000 0.0000
4.8922 -1.1320 -3.6273
0.3689 -0.0006 -5.9569
6.3478 -1.7031 -11.9712
3.9397 -1.8157 -7.3501
2.7480 0.0604 -4.7157
6.1918 -1.7574 -5.8910
```

## Properties
The value obtained for the volume is 19.133 A^3/atom.

***

Model 2:
First-principles (PBE) data for ZrRe2Br after structural relaxation, as listed in Alexandria.

The structure in POSCAR format:
```
ZrRe2Br
1.0
0.0355 -4.5806 -0.6676
-2.4595 -2.7637 2.7825
-3.7796 -2.1338 -1.6095
Re Zr Br
2 1 1
Cartesian
-4.6527 -7.1086 0.3790
-1.5509 -2.3695 0.1263
-3.1018 -4.7390 0.2527
0.0000 0.0000 0.0000
```

## Properties
The value obtained for the volume is 17.536 A^3/atom.

***

Model 3:
First-principles (PBE) data for ZrRe2Br after structural relaxation, as listed in Alexandria.

The structure in POSCAR format:
```
ZrRe2Br
1.0
-2.3610 -1.6428 -0.5561
0.8449 0.0109 2.8051
-5.4602 7.3002 1.6162
Re Br Zr
2 1 1
Cartesian
-0.0516 0.0691 0.0153
-2.6785 3.5811 0.7928
-4.8533 4.6592 2.3366
-2.1231 1.0091 1.5285
```

## Properties
The value obtained for the volume is 18.063 A^3/atom.

***

Of them, model 1 has the lowest stability.

***

Model 1:
First-principles (PBE) data for ZrRe2Br after structural relaxation, as listed in Alexandria.

The structure in POSCAR format:
```
ZrRe2Br
1.0
-5.0461 -0.8426 -0.0825
0.0814 -0.1953 -2.9826
0.7619 -4.6049 0.4288
Re Zr Br
2 1 1
Cartesian
0.0827 -0.2252 -2.7560
0.4204 -2.3702 -1.5035
-2.3122 -1.6213 -0.6797
-1.8906 -4.0214 -1.9566
```

## Properties
The value obtained for the volume is 17.923 A^3/atom.

***

Model 2:
First-principles (PBE) data for ZrRe2Br after structural relaxation, as listed in Alexandria.

The structure in POSCAR format:
```
ZrRe2Br
1.0
8.8698 -0.0240 -0.0142
8.3360 3.0308 -0.0142
8.3360 1.4567 2.6578
Re Zr Br
2 1 1
Cartesian
0.0147 0.0026 0.0015
12.7562 2.2292 1.3132
19.1563 3.3476 1.9721
6.3854 1.1159 0.6574
```

## Properties
The value obtained for the volume is 18.087 A^3/atom.

***

Of them, model 2 has the lowest stability.

***

Model 1:
First-principles (PBE) data for Zr2ReBr after structural relaxation, as listed in Alexandria.

The structure in POSCAR format:
```
Zr2ReBr
1.0
-1.5835 -8.3467 4.9133
-1.9730 -9.4345 1.8472
1.0282 -9.2387 3.1472
Zr Br Re
2 1 1
Cartesian
-0.6238 -6.6661 2.4444
-0.0144 -0.1541 0.0565
-1.2927 -13.8148 5.0656
-1.8617 -19.8950 7.2951
```

## Properties
The value obtained for the volume is 22.383 A^3/atom.

***

Model 2:
First-principles (PBE) data for Zr2ReBr after structural relaxation, as listed in Alexandria.

The structure in POSCAR format:
```
Zr2ReBr
1.0
-1.0003 -0.7088 4.6467
1.6398 -3.9231 2.2396
3.4780 0.3903 3.2933
Zr Br Re
2 1 1
Cartesian
0.0000 0.0000 0.0000
1.0294 -1.0604 2.5449
2.0588 -2.1208 5.0898
3.0881 -3.1812 7.6347
```

## Properties
The value obtained for the volume is 19.620 A^3/atom.

***

Of them, model 2 has the lowest stability.

***

Model 1:
First-principles (PBE) data for Zr2ReBr after structural relaxation, as listed in Alexandria.

The structure in POSCAR format:
```
Zr2ReBr
1.0
5.5191 0.0042 -0.0173
4.5608 3.1080 -0.0173
-0.5297 -0.1635 4.6369
Zr Br Re
2 1 1
Cartesian
0.1510 0.0466 0.4230
7.0591 2.1795 3.0720
4.4290 1.3675 2.7256
2.6863 0.8294 0.6829
```

## Properties
The value obtained for the volume is 19.854 A^3/atom.

***

Model 2:
First-principles (PBE) data for Zr2ReBr after structural relaxation, as listed in Alexandria.

The structure in POSCAR format:
```
Zr2ReBr
1.0
6.8022 0.0372 0.0907
-2.9616 4.0488 -0.0564
0.8790 1.1622 2.8357
Re Br Zr
1 1 2
Cartesian
1.9203 2.0430 0.0172
-1.0413 2.6055 1.3897
3.8406 0.5997 1.4632
0.0000 0.0000 0.0000
```

## Properties
The value obtained for the volume is 19.555 A^3/atom.

***

Of them, model 2 has the lowest stability.

***

Model 1:
First-principles (PBE) data for Zr2ReBr after structural relaxation, as listed in Alexandria.

The structure in POSCAR format:
```
Zr2ReBr
1.0
-0.9288 -4.7009 -1.0509
2.4654 -0.5369 4.2070
-2.8075 0.1817 1.6685
Zr Re Br
2 1 1
Cartesian
0.0000 0.0000 0.0000
0.7683 -2.6189 1.5780
-0.1711 -0.1776 2.9377
-1.8681 -2.2596 0.3088
```

## Properties
The value obtained for the volume is 19.379 A^3/atom.

***

Model 2:
First-principles (PBE) data for Zr2ReBr after structural relaxation, as listed in Alexandria.

The structure in POSCAR format:
```
Zr2ReBr
1.0
5.8181 0.0156 0.0000
3.1857 4.8684 0.0000
-4.5019 -2.4420 2.7604
Br Zr Re
1 2 1
Cartesian
4.5019 2.4420 0.0000
0.0000 0.0000 0.0000
1.5928 2.4342 1.3802
2.9090 0.0078 1.3802
```

## Properties
The value obtained for the volume is 19.513 A^3/atom.

***

Of them, model 2 has the lowest stability.

***

Model 1:
First-principles (PBE) data for Zr2ReBr after structural relaxation, as listed in Alexandria.

The structure in POSCAR format:
```
Zr2ReBr
1.0
3.1216 0.0027 0.0000
-1.3184 2.8295 0.0000
0.0000 0.0000 10.0286
Re Zr Br
1 2 1
Cartesian
0.9016 1.4161 7.9468
0.9016 1.4161 2.5292
0.0000 0.0000 9.9279
0.0000 0.0000 4.6675
```

## Properties
The value obtained for the volume is 22.154 A^3/atom.

***

Model 2:
First-principles (PBE) data for Zr2ReBr after structural relaxation, as listed in Alexandria.

The structure in POSCAR format:
```
Zr2ReBr
1.0
3.2665 0.0000 0.0000
0.0000 3.3334 -0.0114
0.0000 0.0270 8.0364
Zr Re Br
2 1 1
Cartesian
0.0000 0.8469 4.4213
0.0000 0.8603 7.6276
1.6333 2.5203 6.0187
1.6333 0.8401 2.0062
```

## Properties
The value obtained for the volume is 21.877 A^3/atom.

***

Of them, model 1 has the lowest stability.